# 1
Here is crystalline TlIN2 at its relaxed geometry from Alexandria via LeMat-Bulk. Energies are from PBE-GGA.

Cell: 3.155 5.415 5.632 Å, 88.65 73.74 73.06°
Element x y z (fractional)
I 0.750 0.750 0.750
N 0.945 0.305 0.804
N 0.555 0.195 0.696
Tl 0.250 0.250 0.250

Uncorrected energy = -15.0 eV for the cell shown
Mass density = 6.77 g/cm3
Space group = C2/m
Energy above the most stable polymorph in this dataset = 0.077 eV/atom
Raw formation energy = 1.395 eV per atom
Crystal system = monoclinic
Density of states at the Fermi level = 0.9 states/eV/f.u.

---

# 2
Here is crystalline VRe2Pd at its relaxed geometry from Alexandria via LeMat-Bulk. Energies are from PBE-GGA.

Cell: 3.971 3.824 3.824 Å, 90.00 90.00 90.00°
Element x y z (fractional)
V 0.500 0.000 0.000
Re 0.000 0.500 0.000
Pd 0.500 0.500 0.500
Re 0.000 0.000 0.500

Uncorrected energy = -39.3 eV for the cell shown
Mass density = 15.15 g/cm3
Space group = P4/mmm
Energy above the most stable polymorph in this dataset = 0.000 eV/atom
Crystal system = tetragonal
Density of states at the Fermi level = 2.3 states/eV/f.u.

---

Question: Look up the mass density of the second one.
Answer: 15.15 g/cm3